[1]
KCo2Ni: relaxed, PBE.

Its energy above the most stable polymorph in this dataset is 518 meV per atom.

a b c (Å): 2.6143 4.7440 4.9440
angles (deg): 90.00 90.00 90.00
Space group Pmmm (No. 47)
One atom of each set of equivalent atoms:
K (0.0000, 0.0000, 0.0000)
Co (0.0000, 0.5000, 0.5000)
Co (0.5000, 0.0000, 0.5000)
Ni (0.5000, 0.5000, 0.0000)


[2]
TlCdInSb: relaxed, PBE.

Its energy above the most stable polymorph in this dataset is 0 meV per atom. As for the formation energy (no corrections): 0.233 eV per formula unit.

a b c (Å): 7.6639 7.6639 7.6639
angles (deg): 90.00 90.00 90.00
Space group F-43m (No. 216)
One atom of each set of equivalent atoms:
Tl (0.0000, 0.0000, 0.0000)
Cd (0.2500, 0.2500, 0.2500)
In (0.0000, 0.0000, 0.5000)
Sb (0.2500, 0.2500, 0.7500)


[3]
Li2Ac2HoTl5: relaxed, PBE.

The total energy is -3.1584 eV per atom.

a b c (Å): 11.0990 11.0990 4.4484
angles (deg): 90.00 90.00 90.00
Space group P4/mbm (No. 127)
One atom of each set of equivalent atoms:
Li (0.1161, 0.3839, 0.0000)
Ac (0.1785, 0.6785, 0.0000)
Ho (0.0000, 0.0000, 0.0000)
Tl (0.0000, 0.5000, 0.5000)
Tl (0.0665, 0.2092, 0.5000)


[4]
AcPr2Nd6Tm: relaxed, PBE.

The total energy is -4.5599 eV per atom.

a b c (Å): 9.4189 15.7270 9.8399
angles (deg): 90.00 95.87 90.00
Space group C2/c (No. 15)
One atom of each set of equivalent atoms:
Ac (0.0000, 0.0222, 0.2500)
Pr (0.2419, 0.4425, 0.4546)
Nd (0.0588, 0.1907, 0.9452)
Nd (0.1045, 0.3936, 0.1157)
Nd (0.2115, 0.2241, 0.3090)
Tm (0.0000, 0.4117, 0.7500)


[5]
Tl2InTcO6: relaxed, PBE.

As for the formation energy (no corrections): -9.433 eV per formula unit.

a b c (Å): 6.4671 6.4671 5.6059
angles (deg): 90.00 90.00 120.00
Space group P-3m1 (No. 164)
One atom of each set of equivalent atoms:
Tl (0.3333, 0.6667, 0.0135)
In (0.0000, 0.0000, 0.5000)
Tc (0.0000, 0.0000, 0.0000)
O (0.1366, 0.2732, 0.7914)


[6]
KThSe2: relaxed, PBE.

As for the formation energy (no corrections): -6.001 eV per formula unit.

a b c (Å): 3.6896 3.6896 8.0363
angles (deg): 90.00 90.00 90.00
Space group P4/mmm (No. 123)
One atom of each set of equivalent atoms:
K (0.0000, 0.0000, 0.0000)
Th (0.0000, 0.0000, 0.5000)
Se (0.5000, 0.5000, 0.2880)


[7]
LiPu2Ge4Au3: relaxed, PBE.

The total energy is -6.2256 eV per atom.

a b c (Å): 4.2078 4.2078 11.4878
angles (deg): 90.00 90.00 90.00
Space group P-4m2 (No. 115)
One atom of each set of equivalent atoms:
Li (0.0000, 0.0000, 0.0000)
Pu (0.0000, 0.5000, 0.7636)
Ge (0.0000, 0.0000, 0.5000)
Ge (0.0000, 0.5000, 0.1360)
Ge (0.5000, 0.5000, 0.5000)
Au (0.0000, 0.5000, 0.3557)
Au (0.5000, 0.5000, 0.0000)


[8]
Pr8CdAu2: relaxed, PBE.

Its energy above the most stable polymorph in this dataset is 84 meV per atom.

a b c (Å): 16.2840 8.5524 5.1456
angles (deg): 90.00 108.36 90.00
Space group C2/m (No. 12)
One atom of each set of equivalent atoms:
Pr (0.0000, 0.1812, 0.0000)
Pr (0.1360, 0.5000, 0.1355)
Pr (0.1657, 0.2204, 0.6655)
Cd (0.0000, 0.5000, 0.5000)
Au (0.1943, 0.0000, 0.1937)